DFT (PBE-GGA) results for a relaxed Sm2DyTl3Se6 crystal.

Results
Uncorrected energy = -4.889 eV per atom
E_form (uncorrected) = -1385 meV per atom

Cell: 7.3498 7.3498 8.1441 Å, 98.65 98.65 120.00°
With the nearest neighbours (Å) after each atom.
Fractional coordinates of all 12 atoms:
1 Se 0.0689 0.3969 0.2066  1 Dy 2.90, 2 Sm 2.95
2 Se 0.6031 0.9311 0.7934  1 Dy 2.90, 2 Sm 2.95
3 Se 0.3969 0.0689 0.2066  1 Dy 2.90, 2 Sm 2.95
4 Se 0.7413 0.7413 0.2079  1 Dy 2.90, 2 Sm 2.95
5 Se 0.9311 0.6031 0.7934  1 Dy 2.90, 2 Sm 2.95
6 Se 0.2587 0.2587 0.7921  1 Dy 2.90, 2 Sm 2.95
7 Sm 0.6666 0.3334 0.0000  6 Se 2.95
8 Sm 0.3334 0.6666 0.0000  6 Se 2.95
9 Tl 0.5000 0.5000 0.5000  6 Se 3.33-3.37
10 Tl 0.1679 0.8321 0.5000  6 Se 3.33-3.36
11 Tl 0.8321 0.1679 0.5000  6 Se 3.33-3.36
12 Dy 0.0000 0.0000 0.0000  6 Se 2.90